Computed, not measured: a crystal of Zn2CrP relaxed with PBEsol at the meta-GGA SCAN level of DFT.

* DFT formation energy: 387 meV per atom
* DFT total energy: -54.3 eV per cell
* Fermi-level density of states: 2.493 states/eV/cell

Structure (CIF):
```
data_Zn2CrP
_chemical_formula_sum 'Zn2 Cr1 P1'
_space_group_name_H-M_alt 'P 1'
_space_group_IT_number 1
_cell_length_a 2.552
_cell_length_b 2.552
_cell_length_c 8.275
_cell_angle_alpha 90.00
_cell_angle_beta 90.00
_cell_angle_gamma 99.50
loop_
_space_group_symop_operation_xyz
'x,y,z'
loop_
_atom_site_label
_atom_site_fract_x
_atom_site_fract_y
_atom_site_fract_z
Zn1 0.000 0.000 0.267
Zn2 0.000 0.000 0.733
P1 0.500 0.500 0.000
Cr1 0.500 0.500 0.500
```